Compound: BaZn2P2O8
Source: Alexandria
Functional: SCAN
Structure: PBEsol geometry

a = 8.5805 Å, b = 9.7844 Å, c = 9.1455 Å
α = 90.00°, β = 91.65°, γ = 90.00°
Positions (direct):
Ba 0.2444 0.0833 0.1044
Ba 0.2444 0.4167 0.6044
Ba 0.7556 0.5833 0.3956
Ba 0.7556 0.9167 0.8956
Zn 0.0821 0.6813 0.0587
Zn 0.0821 0.8187 0.5587
Zn 0.4287 0.0751 0.7092
Zn 0.4287 0.4249 0.2092
Zn 0.5713 0.5751 0.7908
Zn 0.5713 0.9249 0.2908
Zn 0.9179 0.1813 0.4413
Zn 0.9179 0.3187 0.9413
P 0.0601 0.0876 0.7431
P 0.0601 0.4124 0.2431
P 0.4505 0.7033 0.0734
P 0.4505 0.7967 0.5734
P 0.5495 0.2033 0.4266
P 0.5495 0.2967 0.9266
P 0.9399 0.5876 0.7569
P 0.9399 0.9124 0.2569
O 0.0071 0.0525 0.3056
O 0.0071 0.4475 0.8056
O 0.0419 0.6323 0.6270
O 0.0419 0.8677 0.1270
O 0.0559 0.1911 0.6163
O 0.0559 0.3089 0.1163
O 0.2294 0.0769 0.8063
O 0.2294 0.4231 0.3063
O 0.2942 0.6508 0.0102
O 0.2942 0.8492 0.5102
O 0.4243 0.1973 0.5460
O 0.4243 0.3027 0.0460
O 0.4395 0.6462 0.6263
O 0.4395 0.8538 0.1263
O 0.4913 0.1099 0.2979
O 0.4913 0.3901 0.7979
O 0.5087 0.6099 0.2021
O 0.5087 0.8901 0.7021
O 0.5605 0.1462 0.8737
O 0.5605 0.3538 0.3737
O 0.5757 0.6973 0.9540
O 0.5757 0.8027 0.4540
O 0.7058 0.1508 0.4898
O 0.7058 0.3492 0.9898
O 0.7706 0.5769 0.6937
O 0.7706 0.9231 0.1937
O 0.9441 0.6911 0.8837
O 0.9441 0.8089 0.3837
O 0.9581 0.1323 0.8730
O 0.9581 0.3677 0.3730
O 0.9929 0.5525 0.1944
O 0.9929 0.9475 0.6944

Calculated values
- DOS at the Fermi energy: 0.0 states/eV/f.u.
- Uncorrected formation energy: -2.54 eV per atom
- Space group: P2_1/c, No. 14